A plane-wave DFT calculation with PBE+U was carried out for LiTiV2CrO10 after structural relaxation.

It has space group C2 (No. 5), with a = 9.272 Å, b = 9.400 Å, c = 4.885 Å, α = 90.00°, β = 93.65° and γ = 90.00°. The distinct sites, in fractional coordinates, are Li at (0.000, 0.000, 0.000), Ti at (0.000, 0.749, 0.500), V at (0.243, 0.997, 0.605), Cr at (0.000, 0.248, 0.500), O at (0.097, 0.138, 0.726), O at (0.106, 0.868, 0.734), O at (0.114, 0.354, 0.326), O at (0.123, 0.635, 0.318) and O at (0.209, 0.997, 0.273).

For the raw total energy, the calculation gives -221.2 eV for the cell shown. The calculation puts the size of the total moment at 2.00 μB/cell.